(1)
The following is a DFT calculation (PBE) of a geometry-optimized ZrFe4Au structure.

a = 4.924 Å, b = 4.924 Å, c = 4.924 Å
α = 60.00°, β = 60.00°, γ = 60.00°
Site moments in Bohr magnetons follow the coordinates.
Sites, in units of the cell vectors:
1 Au 0.000 0.000 0.000  0.06
2 Fe 0.127 0.624 0.624  2.25
3 Fe 0.624 0.624 0.624  2.25
4 Fe 0.624 0.127 0.624  2.25
5 Fe 0.624 0.624 0.127  2.25
6 Zr 0.250 0.250 0.250  -0.45

Results
- Total DFT energy (no corrections): -46.74 eV/cell
- Magnetic moment: 8.4 μB/f.u.
- Formation energy from the elements: -1.06 eV per formula unit
- Space-group type: F-43m, No. 216

---

(2)
The following is a DFT calculation (PBE) of a geometry-optimized PmTmSc2Se4 structure.

a = 3.951 Å, b = 6.947 Å, c = 6.942 Å
α = 71.07°, β = 90.00°, γ = 90.00°
Sites, in units of the cell vectors:
1 Pm 0.500 0.500 0.000
2 Tm 0.000 0.500 0.500
3 Sc 0.000 0.000 0.000
4 Sc 0.500 0.000 0.500
5 Se 0.000 0.771 0.735
6 Se 0.000 0.229 0.265
7 Se 0.500 0.765 0.253
8 Se 0.500 0.235 0.747

Results
- Total DFT energy (no corrections): -49.08 eV/cell
- Uncorrected formation energy: -1.657 eV/atom
- Magnetic moment: 0.0 μB/f.u.
- Space-group type: P2/m, No. 10

---

(3)
The following is a DFT calculation (PBE) of a geometry-optimized TlTc2Rh structure.

a = 3.781 Å, b = 3.784 Å, c = 4.550 Å
α = 90.00°, β = 90.00°, γ = 90.00°
Sites, in units of the cell vectors:
1 Rh 0.000 0.500 0.500
2 Tc 0.000 0.000 0.000
3 Tc 0.500 0.500 0.000
4 Tl 0.500 0.000 0.500

Results
- Total DFT energy (no corrections): -28.52 eV/cell
- Magnetic moment: 0.0 μB/f.u.
- Formation energy from the elements: 1.93 eV per formula unit
- Space-group type: P4/mmm, No. 123

---

(4)
The following is a DFT calculation (PBE) of a geometry-optimized SiPb2S4 structure.

a = 6.901 Å, b = 6.729 Å, c = 16.869 Å
α = 71.63°, β = 90.00°, γ = 90.00°
Sites, in units of the cell vectors:
1 Si 0.759 0.212 0.101
2 Si 0.241 0.788 0.899
3 Si 0.259 0.788 0.399
4 Si 0.741 0.212 0.601
5 Pb 0.699 0.753 0.022
6 Pb 0.801 0.753 0.522
7 Pb 0.329 0.263 0.710
8 Pb 0.671 0.737 0.290
9 Pb 0.171 0.263 0.210
10 Pb 0.301 0.247 0.978
11 Pb 0.829 0.737 0.790
12 Pb 0.199 0.247 0.478
13 S 0.511 0.980 0.379
14 S 0.281 0.618 0.029
15 S 0.714 0.418 0.675
16 S 0.486 0.991 0.861
17 S 0.786 0.418 0.175
18 S 0.719 0.382 0.971
19 S 0.986 0.009 0.639
20 S 0.489 0.020 0.621
21 S 0.219 0.618 0.529
22 S 0.014 0.991 0.361
23 S 0.011 0.020 0.121
24 S 0.214 0.582 0.825
25 S 0.989 0.980 0.879
26 S 0.781 0.382 0.471
27 S 0.286 0.582 0.325
28 S 0.514 0.009 0.139

Results
- Total DFT energy (no corrections): -134.81 eV/cell
- Uncorrected formation energy: -0.622 eV/atom
- Magnetic moment: 0.0 μB/f.u.
- Space-group type: P2_1/c, No. 14

---

(5)
The following is a DFT calculation (PBE) of a geometry-optimized AcSeS structure.

a = 4.939 Å, b = 4.939 Å, c = 9.492 Å
α = 68.49°, β = 68.49°, γ = 61.52°
Sites, in units of the cell vectors:
1 Ac 0.567 0.567 0.218
2 Ac 0.433 0.433 0.782
3 Se 0.761 0.761 0.455
4 Se 0.239 0.239 0.545
5 S 0.733 0.733 0.868
6 S 0.267 0.267 0.132

Results
- Total DFT energy (no corrections): -34.01 eV/cell
- Uncorrected formation energy: -1.761 eV/atom
- Magnetic moment: 0.0 μB/f.u.
- Space-group type: C2/m, No. 12

---

(6)
The following is a DFT calculation (PBE) of a geometry-optimized Li3GaCu structure.

a = 4.585 Å, b = 4.585 Å, c = 4.585 Å
α = 90.00°, β = 90.00°, γ = 90.00°
Sites, in units of the cell vectors:
1 Cu 0.000 0.000 0.000
2 Ga 0.500 0.500 0.500
3 Li 0.000 0.500 0.000
4 Li 0.000 0.000 0.500
5 Li 0.500 0.000 0.000

Results
- Total DFT energy (no corrections): -11.86 eV/cell
- Magnetic moment: 0.0 μB/f.u.
- Formation energy from the elements: 1.01 eV per formula unit
- Space-group type: Pm-3m, No. 221

---

(7)
The following is a DFT calculation (PBE) of a geometry-optimized BaZrPa4N8 structure.

a = 7.129 Å, b = 7.129 Å, c = 6.916 Å
α = 58.98°, β = 58.98°, γ = 60.00°
Site moments in Bohr magnetons follow the coordinates.
Sites, in units of the cell vectors:
1 Ba 0.380 0.380 0.860  0.02
2 Zr 0.004 0.004 0.987  0.15
3 Pa 0.623 0.623 0.131  1.01
4 Pa 0.002 0.494 0.501  0.18
5 Pa 0.494 0.002 0.501  0.18
6 Pa 0.002 0.002 0.501  0.18
7 N 0.223 0.829 0.725  0.00
8 N 0.829 0.223 0.725  0.00
9 N 0.223 0.223 0.725  0.00
10 N 0.225 0.225 0.324  -0.01
11 N 0.758 0.219 0.266  -0.03
12 N 0.219 0.758 0.266  -0.03
13 N 0.758 0.758 0.266  -0.03
14 N 0.760 0.760 0.721  -0.02

Results
- Total DFT energy (no corrections): -135.19 eV/cell
- Uncorrected formation energy: -1.438 eV/atom
- Magnetic moment: 2.1 μB/f.u.
- Space-group type: R3m, No. 160

---

(8)
The following is a DFT calculation (PBE) of a geometry-optimized AcLaNd2Sb4 structure.

a = 4.623 Å, b = 8.007 Å, c = 8.002 Å
α = 70.55°, β = 90.00°, γ = 90.00°
Sites, in units of the cell vectors:
1 Ac 0.500 0.500 0.000
2 La 0.000 0.500 0.500
3 Nd 0.000 0.000 0.000
4 Nd 0.500 0.000 0.500
5 Sb 0.000 0.761 0.742
6 Sb 0.000 0.239 0.258
7 Sb 0.500 0.758 0.252
8 Sb 0.500 0.242 0.748

Results
- Total DFT energy (no corrections): -44.73 eV/cell
- Uncorrected formation energy: -1.208 eV/atom
- Magnetic moment: 0.0 μB/f.u.
- Space-group type: P2/m, No. 10